No. 1
A relaxed structure of Sc2MnCdC, computed with PBE.

Results
E_tot: -6.74 eV/atom
Crystal system: tetragonal

abc: 4.632 4.632 3.789
angles: 90.00 90.00 90.00
Space group P4/mmm (No. 123)
Inequivalent atoms, fractional coordinates:
Sc (0.000, 0.500, 0.000) (multiplicity 2)
Mn (0.000, 0.000, 0.500) (multiplicity 1)
Cd (0.500, 0.500, 0.500) (multiplicity 1)
C (0.000, 0.000, 0.000) (multiplicity 1)

=====

No. 2
A relaxed structure of SrMnCdC2, computed with PBE.

Results
E_tot: -2.86 eV/atom
Crystal system: tetragonal

abc: 4.652 4.652 4.933
angles: 90.00 90.00 90.00
Space group P4/mmm (No. 123)
Inequivalent atoms, fractional coordinates:
Sr (0.000, 0.000, 0.000) (multiplicity 1)
Mn (0.000, 0.000, 0.500) (multiplicity 1)
Cd (0.500, 0.500, 0.500) (multiplicity 1)
C (0.000, 0.500, 0.000) (multiplicity 2)

=====

No. 3
A relaxed structure of Tb2MnCdC, computed with PBE.

Results
E_tot: -5.97 eV/atom
Crystal system: tetragonal

abc: 5.092 5.092 3.810
angles: 90.00 90.00 90.00
Space group P4/mmm (No. 123)
Inequivalent atoms, fractional coordinates:
Tb (0.000, 0.500, 0.000) (multiplicity 2)
Mn (0.000, 0.000, 0.500) (multiplicity 1)
Cd (0.500, 0.500, 0.500) (multiplicity 1)
C (0.000, 0.000, 0.000) (multiplicity 1)

=====

No. 4
A relaxed structure of Mn2CdTcC, computed with PBE.

Results
E_tot: -7.64 eV/atom
Crystal system: tetragonal

abc: 4.095 4.095 4.070
angles: 90.00 90.00 90.00
Space group P4/mmm (No. 123)
Inequivalent atoms, fractional coordinates:
Mn (0.000, 0.500, 0.000) (multiplicity 2)
Cd (0.000, 0.000, 0.500) (multiplicity 1)
Tc (0.500, 0.500, 0.500) (multiplicity 1)
C (0.500, 0.500, 0.000) (multiplicity 1)

=====

Which ΔH_f (0 K) belongs to each record? In order, -1.7, 15.9, -1.3, 0.6 eV per formula unit.